No. 1
Computed, not measured: crystalline Cu6Sn at its relaxed geometry at the PBE-GGA level of DFT.

Values from the calculation:
ΔH_f (0 K) in meV/atom: 101
Polymorph energy (0 for the lowest one) in eV per atom: 0.0000

Structure (POSCAR):
```
Cu6Sn
1.0
7.9322 0.0000 0.0000
0.0000 5.0898 0.0000
0.0000 0.0000 9.6893
Cu Sn
24 4
direct
0.0530 0.0082 0.1987 Cu
0.0530 0.4918 0.1987 Cu
0.0668 0.7500 0.4229 Cu
0.1099 0.2500 0.9778 Cu
0.1679 0.7500 0.6640 Cu
0.1919 0.2500 0.7246 Cu
0.3081 0.7500 0.2246 Cu
0.3321 0.2500 0.1640 Cu
0.3901 0.7500 0.4778 Cu
0.4332 0.2500 0.9229 Cu
0.4470 0.5082 0.6987 Cu
0.4470 0.9918 0.6987 Cu
0.5530 0.0082 0.3013 Cu
0.5530 0.4918 0.3013 Cu
0.5668 0.7500 0.0771 Cu
0.6099 0.2500 0.5222 Cu
0.6679 0.7500 0.8360 Cu
0.6919 0.2500 0.7754 Cu
0.8081 0.7500 0.2754 Cu
0.8321 0.2500 0.3360 Cu
0.8901 0.7500 0.0222 Cu
0.9332 0.2500 0.5771 Cu
0.9470 0.5082 0.8013 Cu
0.9470 0.9918 0.8013 Cu
0.2426 0.2500 0.4382 Sn
0.2574 0.7500 0.9382 Sn
0.7426 0.2500 0.0618 Sn
0.7574 0.7500 0.5618 Sn
```



No. 2
Computed, not measured: crystalline NaSr3Ir at its relaxed geometry at the PBE-GGA level of DFT.

Values from the calculation:
ΔH_f (0 K) in meV/atom: 261
Polymorph energy (0 for the lowest one) in eV per atom: 0.3838

Structure (POSCAR):
```
NaSr3Ir
1.0
4.1776 0.0000 0.0000
0.0000 4.0798 10.0110
0.0000 -4.0798 10.0110
Na Sr Ir
1 3 1
direct
0.0000 0.0000 0.0000 Na
0.0000 0.4284 0.9030 Sr
0.0000 0.9030 0.4284 Sr
0.5000 0.8275 0.8275 Sr
0.5000 0.6912 0.6912 Ir
```



No. 3
Computed, not measured: crystalline Sr2Ga7Cu at its relaxed geometry at the PBE-GGA level of DFT.

Values from the calculation:
ΔH_f (0 K) in meV/atom: -399

Structure (POSCAR):
```
Sr2Ga7Cu
1.0
4.3876 0.0000 0.0000
0.0000 4.3876 0.0000
0.0000 0.0000 10.8812
Sr Ga Cu
2 7 1
direct
0.0000 0.5000 0.2470 Sr
0.5000 0.0000 0.7530 Sr
0.0000 0.0000 0.0000 Ga
0.0000 0.0000 0.5000 Ga
0.0000 0.5000 0.6370 Ga
0.0000 0.5000 0.8731 Ga
0.5000 0.0000 0.1269 Ga
0.5000 0.0000 0.3630 Ga
0.5000 0.5000 0.5000 Ga
0.5000 0.5000 0.0000 Cu
```



No. 4
Computed, not measured: crystalline LaZrTiN3 at its relaxed geometry at the PBE-GGA level of DFT.

Values from the calculation:
Uncorrected formation energy in meV/atom: -1311

Structure (POSCAR):
```
LaZrTiN3
1.0
7.0350 0.0000 0.0000
0.0000 3.5144 0.0000
-2.0823 0.0000 7.8165
La Zr Ti N
2 2 2 6
direct
0.1912 0.2500 0.1761 La
0.8088 0.7500 0.8239 La
0.3503 0.7500 0.8646 Zr
0.6497 0.2500 0.1354 Zr
0.0984 0.2500 0.6128 Ti
0.9016 0.7500 0.3872 Ti
0.1119 0.2500 0.8572 N
0.1779 0.7500 0.5505 N
0.4375 0.7500 0.1480 N
0.5625 0.2500 0.8520 N
0.8221 0.2500 0.4495 N
0.8881 0.7500 0.1428 N
```



No. 5
Computed, not measured: crystalline CdOs at its relaxed geometry at the PBE-GGA level of DFT.

Values from the calculation:
ΔH_f (0 K) in meV/atom: 1037

Structure (POSCAR):
```
CdOs
1.0
4.5397 0.0000 0.0000
-2.2698 3.9315 0.0000
0.0000 0.0000 4.7393
Cd Os
2 2
direct
0.3333 0.6667 0.2500 Cd
0.6667 0.3333 0.7500 Cd
0.0000 0.0000 0.0000 Os
0.0000 0.0000 0.5000 Os
```



No. 6
Computed, not measured: crystalline Dy5ErTm5 at its relaxed geometry at the PBE-GGA level of DFT.

Values from the calculation:
ΔH_f (0 K) in meV/atom: 152
Polymorph energy (0 for the lowest one) in eV per atom: 0.0000

Structure (POSCAR):
```
Dy5ErTm5
1.0
6.7688 0.0000 0.0000
2.0836 6.5506 0.0000
1.8882 1.4958 7.8583
Dy Er Tm
5 1 5
direct
0.0000 0.0000 0.0000 Dy
0.1567 0.1326 0.3583 Dy
0.3253 0.2688 0.6544 Dy
0.6747 0.7312 0.3456 Dy
0.8433 0.8674 0.6417 Dy
0.0000 0.5000 0.0000 Er
0.2086 0.6388 0.3134 Tm
0.3529 0.7485 0.7212 Tm
0.5000 0.0000 0.0000 Tm
0.6471 0.2515 0.2788 Tm
0.7914 0.3612 0.6866 Tm
```



no.,density (g/cm3),size of the total moment (μB per atom),volume (Å³/f.u.)
1,8.490,0.00,98
2,2.326,0.00,341
3,5.762,0.00,209
4,5.500,0.00,97
5,11.882,0.00,42
6,8.695,0.00,348